The following is a DFT calculation (PBE-GGA) of an optimized crystal structure of UPaBr2F6.

M_tot in Bohr magnetons per cell: 3.00
Raw formation energy in meV per atom: -2949
Total energy in eV for the cell shown: -64.852

Cell: 6.404 6.404 6.404 Å, 60.00 60.00 60.00°
Atoms (fractional coordinates):
U (0.000, 0.000, 0.000)
Pa (0.500, 0.500, 0.500)
Br (0.250, 0.250, 0.250)
Br (0.750, 0.750, 0.750)
F (0.256, 0.256, 0.744)
F (0.256, 0.744, 0.256)
F (0.256, 0.744, 0.744)
F (0.744, 0.256, 0.256)
F (0.744, 0.256, 0.744)
F (0.744, 0.744, 0.256)